Computed, not measured: a relaxed Cu2As crystal at the GGA-PBEsol level of DFT.

Values from the calculation:
The calculation puts the magnetic moment at 0.0 Bohr magnetons per cell. As for the formation energy: 0.069 eV per atom.

POSCAR file:
```
Cu2As
1.0
4.947 0.000 0.000
0.000 3.714 0.000
0.000 0.000 8.830
Cu As
8 4
Cartesian
0.535 0.929 2.044 Cu
0.699 0.929 8.177 Cu
1.775 2.786 3.762 Cu
1.938 2.786 6.459 Cu
3.008 0.929 2.372 Cu
3.172 0.929 5.068 Cu
4.248 2.786 0.653 Cu
4.412 2.786 6.787 Cu
0.678 0.929 5.453 As
1.796 2.786 1.038 As
3.151 0.929 7.792 As
4.269 2.786 3.377 As
```

=====

Computed, not measured: a relaxed CdMo2Se crystal at the GGA-PBEsol level of DFT.

Values from the calculation:
As for the offset from the most stable computed form: 257.7 meV per atom. As for the uncorrected formation energy: 0.390 eV per atom. The calculation puts the magnetic moment at 0.0 Bohr magnetons per cell.

POSCAR file:
```
CdMo2Se
1.0
3.089 0.000 0.000
0.000 4.725 0.000
0.000 0.000 9.614
Cd Mo Se
2 4 2
Cartesian
0.000 0.000 0.000 Cd
1.545 2.363 4.807 Cd
0.000 0.000 4.902 Mo
0.000 2.363 2.017 Mo
1.545 0.000 6.824 Mo
1.545 2.363 0.095 Mo
0.000 2.363 7.502 Se
1.545 0.000 2.695 Se
```

=====

Computed, not measured: a relaxed MnSnAsSe2 crystal at the GGA-PBEsol level of DFT.

Values from the calculation:
As for the uncorrected formation energy: 0.102 eV per atom. The calculation puts the magnetic moment at 3.0 Bohr magnetons per cell.

POSCAR file:
```
MnSnAsSe2
1.0
4.894 0.000 0.000
0.000 4.894 0.000
0.000 0.000 4.552
Mn Sn As Se
1 1 1 2
Cartesian
0.000 0.000 0.000 Mn
2.447 2.447 2.276 Sn
0.000 0.000 2.276 As
0.000 2.447 0.000 Se
2.447 0.000 0.000 Se
```

=====

Look up the magnetic moment of the first one. 0.0 Bohr magnetons per cell